[1]
Crystalline FeSn4H24C8Se10N2 at its relaxed geometry. Source: Alexandria via LeMat-Bulk, functional PBE.

Cell: 10.7144 10.7144 10.7144 Å, 122.96 122.96 84.95°
Closest atoms and distances in Å follow each position.
Fractional positions:
Fe (0.0000, 0.0000, 0.0000)  4 Se 2.40
Sn (0.0879, 0.8470, 0.6205)  4 Se 2.54-2.60
Sn (0.1530, 0.7735, 0.2408)  4 Se 2.54-2.60
Sn (0.2265, 0.4673, 0.3795)  4 Se 2.54-2.60
Sn (0.5327, 0.9121, 0.7592)  4 Se 2.54-2.60
H (0.2594, 0.4116, 0.8593)  1 C 1.10
H (0.3159, 0.3671, 0.7120)  1 C 1.10
H (0.3574, 0.2656, 0.8137)  1 C 1.10
H (0.3961, 0.6841, 0.0512)  1 C 1.10
H (0.4519, 0.5437, 0.1863)  1 C 1.10
H (0.4563, 0.6426, 0.9082)  1 C 1.10
H (0.5421, 0.0618, 0.2910)  1 C 1.10
H (0.5522, 0.4001, 0.1407)  1 C 1.10
H (0.5634, 0.3100, 0.3451)  1 C 1.10
H (0.5884, 0.4478, 0.8478)  1 C 1.10
H (0.5966, 0.2873, 0.5747)  1 C 1.10
H (0.5999, 0.7406, 0.1522)  1 C 1.10
H (0.6329, 0.3449, 0.9488)  1 C 1.10
H (0.6551, 0.6039, 0.2880)  1 C 1.10
H (0.6900, 0.0352, 0.2534)  1 C 1.10
H (0.7125, 0.0219, 0.4253)  1 C 1.10
H (0.7127, 0.2875, 0.3094)  1 C 1.10
H (0.7344, 0.5481, 0.0918)  1 C 1.10
H (0.7488, 0.4579, 0.5197)  1 C 1.10
H (0.7709, 0.2512, 0.7090)  1 C 1.10
H (0.7818, 0.4366, 0.7466)  1 C 1.10
H (0.9382, 0.2291, 0.4803)  1 C 1.10
H (0.9648, 0.2182, 0.6549)  1 C 1.10
H (0.9781, 0.4034, 0.6906)  1 C 1.10
C (0.3466, 0.3767, 0.8333)  3 H 1.10
C (0.4866, 0.6534, 0.0300)  3 H 1.10
C (0.5434, 0.5134, 0.1667)  3 H 1.10
C (0.6233, 0.4566, 0.9700)  3 H 1.10
C (0.6672, 0.0787, 0.3561)  3 H 1.10
C (0.6889, 0.3328, 0.4116)  3 H 1.10
C (0.7227, 0.3111, 0.6439)  3 H 1.10
C (0.9213, 0.2773, 0.5884)  3 H 1.10
Se (0.0480, 0.7603, 0.9550)  1 Fe 2.40, 1 Sn 2.54
Se (0.0576, 0.5576, 0.5000)  2 Sn 2.60
Se (0.1297, 0.4819, 0.1093)  2 Sn 2.58-2.60
Se (0.2397, 0.1947, 0.2878)  1 Fe 2.40, 1 Sn 2.54
Se (0.3727, 0.0205, 0.8907)  2 Sn 2.58-2.60
Se (0.4424, 0.9424, 0.5000)  2 Sn 2.60
Se (0.5181, 0.6273, 0.6478)  2 Sn 2.58-2.60
Se (0.8053, 0.0930, 0.0450)  1 Fe 2.40, 1 Sn 2.54
Se (0.9070, 0.9520, 0.7122)  1 Fe 2.40, 1 Sn 2.54
Se (0.9795, 0.8703, 0.3522)  2 Sn 2.58-2.60
N (0.5000, 0.5000, 0.0000)  4 C 1.50
N (0.7500, 0.2500, 0.5000)  4 C 1.50

Results
* DOS(E_F): 1.1 states/eV/f.u.
* total moment: 4.01 μB/cell

---

[2]
Crystalline ReNiPt4 at its relaxed geometry. Source: Alexandria via LeMat-Bulk, functional PBE.

Cell: 4.5750 8.6043 5.3827 Å, 90.00 90.14 90.00°
Closest atoms and distances in Å follow each position.
Fractional positions:
Re (0.1906, 0.2500, 0.4919)  8 Pt 2.52-2.76, 2 Ni 2.56-2.74
Re (0.8094, 0.7500, 0.5081)  8 Pt 2.52-2.76, 2 Ni 2.56-2.74
Ni (0.3326, 0.7500, 0.7571)  6 Pt 2.51-2.76, 2 Re 2.56-2.74
Ni (0.6674, 0.2500, 0.2429)  6 Pt 2.51-2.76, 2 Re 2.56-2.74
Pt (0.0096, 0.5037, 0.7446)  1 Ni 2.58, 5 Pt 2.64-2.75, 2 Re 2.64-2.70
Pt (0.0096, 0.9963, 0.7446)  1 Ni 2.58, 5 Pt 2.64-2.75, 2 Re 2.64-2.70
Pt (0.1940, 0.2500, 0.0051)  2 Ni 2.51-2.73, 5 Pt 2.62-2.73, 2 Re 2.62-2.76
Pt (0.3346, 0.7500, 0.2697)  2 Re 2.52-2.73, 3 Pt 2.62-2.69, 2 Ni 2.62-2.76
Pt (0.6654, 0.2500, 0.7303)  2 Re 2.52-2.73, 3 Pt 2.62-2.69, 2 Ni 2.62-2.76
Pt (0.8060, 0.7500, 0.9949)  2 Ni 2.51-2.73, 5 Pt 2.62-2.73, 2 Re 2.62-2.76
Pt (0.9904, 0.0037, 0.2554)  1 Ni 2.58, 5 Pt 2.64-2.75, 2 Re 2.64-2.70
Pt (0.9904, 0.4963, 0.2554)  1 Ni 2.58, 5 Pt 2.64-2.75, 2 Re 2.64-2.70

Results
* DOS(E_F): 6.6 states/eV/f.u.
* total moment: 0.00 μB/cell
* formation energy: 0.242 eV/atom
* relative energy among the computed polymorphs: 366 meV per atom

---

[3]
Crystalline Cs2Pu2PaSe6 at its relaxed geometry. Source: Alexandria via LeMat-Bulk, functional PBE.

Cell: 7.3612 7.3612 8.9101 Å, 98.13 98.13 119.83°
Closest atoms and distances in Å follow each position.
Fractional positions:
Cs (0.1694, 0.8306, 0.0000)  6 Se 3.65-3.69
Cs (0.8306, 0.1694, 0.0000)  6 Se 3.65-3.69
Pu (0.3336, 0.6664, 0.5000)  6 Se 2.94
Pu (0.6664, 0.3336, 0.5000)  6 Se 2.94
Pa (0.0000, 0.0000, 0.5000)  6 Se 2.83-2.84
Se (0.0619, 0.3844, 0.6817)  1 Pa 2.84, 2 Pu 2.94
Se (0.2597, 0.2597, 0.3185)  1 Pa 2.83, 2 Pu 2.94
Se (0.3844, 0.0619, 0.6817)  1 Pa 2.84, 2 Pu 2.94
Se (0.6156, 0.9381, 0.3183)  1 Pa 2.84, 2 Pu 2.94
Se (0.7403, 0.7403, 0.6815)  1 Pa 2.83, 2 Pu 2.94
Se (0.9381, 0.6156, 0.3183)  1 Pa 2.84, 2 Pu 2.94

Results
* DOS(E_F): 28.4 states/eV/f.u.
* total moment: 11.00 μB/cell
* energy relative to the elements, uncorrected: -16.20 eV per formula unit

---

[4]
Crystalline Ti2ReN at its relaxed geometry. Source: Alexandria via LeMat-Bulk, functional PBE.

Cell: 2.9360 2.9360 20.4211 Å, 90.00 90.00 120.00°
Closest atoms and distances in Å follow each position.
Fractional positions:
Ti (0.0000, 0.0000, 0.2265)  3 N 2.09
Ti (0.0000, 0.0000, 0.7735)  3 N 2.09
Ti (0.3333, 0.6667, 0.4402)  3 N 2.09
Ti (0.3333, 0.6667, 0.8932)  3 N 2.09
Ti (0.6667, 0.3333, 0.1068)  3 N 2.09
Ti (0.6667, 0.3333, 0.5598)  3 N 2.09
Re (0.0000, 0.0000, 0.0000)  6 Ti 2.76, 6 Re 2.94
Re (0.3333, 0.6667, 0.6667)  6 Ti 2.76, 6 Re 2.94
Re (0.6667, 0.3333, 0.3333)  6 Ti 2.76, 6 Re 2.94
N (0.0000, 0.0000, 0.5000)  6 Ti 2.09
N (0.3333, 0.6667, 0.1667)  6 Ti 2.09
N (0.6667, 0.3333, 0.8333)  6 Ti 2.09

Results
* DOS(E_F): 2.7 states/eV/f.u.
* total moment: 0.00 μB/cell
* energy relative to the elements, uncorrected: -3.87 eV per formula unit

---

[5]
Crystalline CeLu2Au at its relaxed geometry. Source: Alexandria via LeMat-Bulk, functional PBE.

Cell: 3.5446 3.5446 8.2821 Å, 90.00 90.00 90.00°
Closest atoms and distances in Å follow each position.
Fractional positions:
Ce (0.0000, 0.0000, 0.0000)  8 Lu 3.50, 4 Ce 3.54
Lu (0.5000, 0.5000, 0.2951)  4 Au 3.03
Lu (0.5000, 0.5000, 0.7049)  4 Au 3.03
Au (0.0000, 0.0000, 0.5000)  8 Lu 3.03

Results
* DOS(E_F): 6.5 states/eV/f.u.
* total moment: 1.23 μB/cell
* formation energy: -0.389 eV/atom
* relative energy among the computed polymorphs: 0 meV per atom

---

[6]
Crystalline HoTiSn2 at its relaxed geometry. Source: Alexandria via LeMat-Bulk, functional PBE.

Cell: 4.6127 4.6127 15.7482 Å, 90.00 90.00 120.00°
Closest atoms and distances in Å follow each position.
Fractional positions:
Ho (0.0000, 0.0000, 0.0000)  6 Sn 3.08
Ho (0.3333, 0.6667, 0.6667)  6 Sn 3.08
Ho (0.6667, 0.3333, 0.3333)  6 Sn 3.08
Ti (0.0000, 0.0000, 0.5000)  6 Sn 2.87
Ti (0.3333, 0.6667, 0.1667)  6 Sn 2.87
Ti (0.6667, 0.3333, 0.8333)  6 Sn 2.87
Sn (0.0000, 0.0000, 0.2354)  3 Ti 2.87, 3 Ho 3.08
Sn (0.0000, 0.0000, 0.7646)  3 Ti 2.87, 3 Ho 3.08
Sn (0.3333, 0.6667, 0.4313)  3 Ti 2.87, 3 Ho 3.08
Sn (0.3333, 0.6667, 0.9020)  3 Ti 2.87, 3 Ho 3.08
Sn (0.6667, 0.3333, 0.0980)  3 Ti 2.87, 3 Ho 3.08
Sn (0.6667, 0.3333, 0.5687)  3 Ti 2.87, 3 Ho 3.08

Results
* DOS(E_F): 3.0 states/eV/f.u.
* total moment: 0.00 μB/cell
* formation energy: -0.360 eV/atom
* relative energy among the computed polymorphs: 0 meV per atom

---

[7]
Crystalline NaSm4Tl3 at its relaxed geometry. Source: Alexandria via LeMat-Bulk, functional PBE.

Cell: 5.3751 5.3751 16.1521 Å, 90.00 90.00 90.00°
Closest atoms and distances in Å follow each position.
Fractional positions:
Na (0.0000, 0.0000, 0.0000)  8 Sm 3.39, 4 Tl 3.80
Na (0.5000, 0.5000, 0.5000)  8 Sm 3.39, 4 Tl 3.80
Sm (0.0000, 0.5000, 0.1284)  6 Tl 3.29-3.39, 2 Na 3.39
Sm (0.0000, 0.5000, 0.3716)  6 Tl 3.29-3.39, 2 Na 3.39
Sm (0.0000, 0.5000, 0.6284)  6 Tl 3.29-3.39, 2 Na 3.39
Sm (0.0000, 0.5000, 0.8716)  6 Tl 3.29-3.39, 2 Na 3.39
Sm (0.5000, 0.0000, 0.1284)  6 Tl 3.29-3.39, 2 Na 3.39
Sm (0.5000, 0.0000, 0.3716)  6 Tl 3.29-3.39, 2 Na 3.39
Sm (0.5000, 0.0000, 0.6284)  6 Tl 3.29-3.39, 2 Na 3.39
Sm (0.5000, 0.0000, 0.8716)  6 Tl 3.29-3.39, 2 Na 3.39
Tl (0.0000, 0.0000, 0.2463)  8 Sm 3.29-3.36
Tl (0.0000, 0.0000, 0.5000)  8 Sm 3.39, 4 Na 3.80
Tl (0.0000, 0.0000, 0.7537)  8 Sm 3.29-3.36
Tl (0.5000, 0.5000, 0.0000)  8 Sm 3.39, 4 Na 3.80
Tl (0.5000, 0.5000, 0.2537)  8 Sm 3.29-3.36
Tl (0.5000, 0.5000, 0.7463)  8 Sm 3.29-3.36

Results
* DOS(E_F): 6.9 states/eV/f.u.
* total moment: 0.00 μB/cell
* formation energy: -0.242 eV/atom

---

[8]
Crystalline LiLaCeGa at its relaxed geometry. Source: Alexandria via LeMat-Bulk, functional PBE.

Cell: 7.4443 7.4443 7.4443 Å, 90.00 90.00 90.00°
Closest atoms and distances in Å follow each position.
Fractional positions:
Li (0.0000, 0.0000, 0.0000)  4 La 3.22, 4 Ce 3.22
Li (0.0000, 0.5000, 0.5000)  4 La 3.22, 4 Ce 3.22
Li (0.5000, 0.0000, 0.5000)  4 La 3.22, 4 Ce 3.22
Li (0.5000, 0.5000, 0.0000)  4 La 3.22, 4 Ce 3.22
La (0.2500, 0.2500, 0.7500)  4 Li 3.22, 4 Ga 3.22
La (0.2500, 0.7500, 0.2500)  4 Li 3.22, 4 Ga 3.22
La (0.7500, 0.2500, 0.2500)  4 Li 3.22, 4 Ga 3.22
La (0.7500, 0.7500, 0.7500)  4 Li 3.22, 4 Ga 3.22
Ce (0.2500, 0.2500, 0.2500)  4 Ga 3.22, 4 Li 3.22
Ce (0.2500, 0.7500, 0.7500)  4 Ga 3.22, 4 Li 3.22
Ce (0.7500, 0.2500, 0.7500)  4 Ga 3.22, 4 Li 3.22
Ce (0.7500, 0.7500, 0.2500)  4 Li 3.22, 4 Ga 3.22
Ga (0.0000, 0.0000, 0.5000)  4 La 3.22, 4 Ce 3.22
Ga (0.0000, 0.5000, 0.0000)  4 La 3.22, 4 Ce 3.22
Ga (0.5000, 0.0000, 0.0000)  4 La 3.22, 4 Ce 3.22
Ga (0.5000, 0.5000, 0.5000)  4 La 3.22, 4 Ce 3.22

Results
* DOS(E_F): 9.3 states/eV/f.u.
* total moment: 3.20 μB/cell
* formation energy: -0.194 eV/atom

---

Record-wise theoretical density values, in g/cm3: 2.948 16.069 6.028 9.671 10.963 7.729 8.808 5.727
Record-wise total DFT energy (no corrections) values, in eV per atom: -4.921 -6.824 -6.998 -10.108 -4.952 -5.480 -3.654 -4.144